This record from Alexandria via LeMat-Bulk describes an optimized crystal structure of Cu2AgPt. The functional is GGA-PBE.

The structure in POSCAR format:
```
Cu2AgPt
1.0
-0.848 -2.532 -0.846
-0.522 -0.713 2.658
-6.870 2.527 -0.672
Pt Ag Cu
1 1 2
Cartesian
-2.403 -0.991 0.738
-5.838 0.273 0.402
-0.067 0.025 -0.007
-3.368 1.239 -0.329
```

Output
E_tot, eV per atom: -4.322
Offset from the most stable computed form, meV/atom: 16.2
M_tot, μB/f.u.: 0.0
DFT formation energy, eV per atom: -0.05
Calculated density, g cm⁻³: 12.38

---

This record from Alexandria via LeMat-Bulk describes an optimized crystal structure of Cu4AgPt. The functional is GGA-PBE.

The structure in POSCAR format:
```
Cu4AgPt
1.0
0.783 -7.595 -2.994
5.103 0.528 -0.578
-3.323 1.361 5.215
Cu Ag Pt
8 2 2
Cartesian
0.231 -2.356 0.227
2.300 1.018 2.567
1.105 -1.311 2.564
2.596 -2.016 -0.822
2.331 -3.349 1.415
-0.033 -3.689 2.465
1.457 -4.395 -0.922
0.263 -6.723 -0.925
1.318 0.123 0.319
1.245 -5.829 1.323
-1.521 -1.590 2.100
4.084 -4.116 -0.458
```

Output
E_tot, eV per atom: -4.232
Offset from the most stable computed form, meV/atom: 0.0
M_tot, μB/f.u.: 0.0
DFT formation energy, eV per atom: -0.02
Calculated density, g cm⁻³: 11.27

---

This record from Alexandria via LeMat-Bulk describes an optimized crystal structure of CuAgPt4. The functional is GGA-PBE.

The structure in POSCAR format:
```
CuAgPt4
1.0
0.000 3.717 3.717
3.717 0.000 3.717
3.717 3.717 0.000
Pt Ag Cu
4 1 1
Cartesian
4.647 2.787 2.787
2.787 4.647 2.787
4.647 4.647 4.647
2.787 2.787 4.647
1.859 1.859 1.859
0.000 0.000 0.000
```

Output
E_tot, eV per atom: -5.086
M_tot, μB/f.u.: 0.0
DFT formation energy, eV per atom: 0.10
Calculated density, g cm⁻³: 15.39